Below is a geometry-optimized V2CuSn structure, with properties calculated at the PBE-GGA level.

a b c (Å): 7.0690 7.0690 5.2176
angles (deg): 90.00 90.00 90.00
Positions (direct):
V1 0.2284 0.2500 0.1250
V2 0.2500 0.7284 0.3750
V3 0.2500 0.7716 0.8750
V4 0.2716 0.2500 0.6250
V5 0.7284 0.7500 0.6250
V6 0.7500 0.2284 0.8750
V7 0.7500 0.2716 0.3750
V8 0.7716 0.7500 0.1250
Cu1 0.0000 0.0000 0.0000
Cu2 0.0000 0.5000 0.2500
Cu3 0.5000 0.0000 0.7500
Cu4 0.5000 0.5000 0.5000
Sn1 0.0000 0.0000 0.5000
Sn2 0.0000 0.5000 0.7500
Sn3 0.5000 0.0000 0.2500
Sn4 0.5000 0.5000 0.0000

- Energy relative to the elements: 0.493 eV per atom
- E: -24.4 eV/f.u.



Below is a geometry-optimized VCu2Sn2 structure, with properties calculated at the PBE-GGA level.

a b c (Å): 7.0368 7.0368 3.5902
angles (deg): 90.00 90.00 90.00
Positions (direct):
V1 0.0000 0.0000 0.0000
V2 0.5000 0.5000 0.0000
Cu1 0.1226 0.3774 0.0000
Cu2 0.3774 0.8774 0.0000
Cu3 0.6226 0.1226 0.0000
Cu4 0.8774 0.6226 0.0000
Sn1 0.1790 0.6790 0.5000
Sn2 0.3210 0.1790 0.5000
Sn3 0.6790 0.8210 0.5000
Sn4 0.8210 0.3210 0.5000

- Energy relative to the elements: 0.235 eV per atom
- E: -24.1 eV/f.u.



Below is a geometry-optimized VCu4Sn structure, with properties calculated at the PBE-GGA level.

a b c (Å): 4.9384 4.9384 4.9384
angles (deg): 60.00 60.00 60.00
Positions (direct):
V1 0.0000 0.0000 0.0000
Cu1 0.3744 0.3744 0.3744
Cu2 0.3744 0.3744 0.8769
Cu3 0.3744 0.8769 0.3744
Cu4 0.8769 0.3744 0.3744
Sn1 0.7500 0.7500 0.7500

- Energy relative to the elements: 0.086 eV per atom
- E: -29.0 eV/f.u.